[1]
Material: Sn2Pd8Se
Method: DFT, PBE
State: relaxed

**Raw total energy**: -5.193 eV/atom
**Space-group type**: No. 12
**DOS(E_F)**: 5.3 states/eV per cell
**Formation energy without anion corrections**: -0.3717 eV per atom

POSCAR file:
```
Sn2Pd8Se
1.0
7.496 -2.264 0.000
7.496 2.264 0.000
-2.076 0.000 5.495
Sn Pd Se
2 8 1
Cartesian
2.319 0.000 1.023 Sn
10.597 0.000 4.472 Sn
-0.400 0.000 1.431 Pd
1.359 0.000 4.043 Pd
4.031 0.000 3.177 Pd
5.550 0.000 0.476 Pd
7.366 0.000 5.019 Pd
8.885 0.000 2.317 Pd
11.557 0.000 1.452 Pd
13.316 0.000 4.063 Pd
6.458 0.000 2.747 Se
```

[2]
Material: Ca2LaAl9
Method: DFT, PBE
State: relaxed

**Raw total energy**: -3.863 eV/atom
**Space-group type**: No. 166
**DOS(E_F)**: 8.1 states/eV per cell
**Energy of formation**: -311 meV per atom

POSCAR file:
```
Ca2LaAl9
1.0
2.837 1.638 8.920
-2.837 1.638 8.920
0.000 -3.275 8.920
Ca La Al
2 1 9
Cartesian
0.000 0.000 3.794 Ca
0.000 0.000 22.965 Ca
0.000 0.000 0.000 La
-1.442 -0.832 11.118 Al
0.000 0.000 8.972 Al
0.000 -1.665 15.641 Al
-1.442 0.832 15.641 Al
0.000 0.000 13.379 Al
1.442 -0.832 11.118 Al
0.000 1.665 11.118 Al
0.000 0.000 17.786 Al
1.442 0.832 15.641 Al
```

[3]
Material: Cr2FePt
Method: DFT, PBE
State: relaxed

**Raw total energy**: -8.399 eV/atom
**Space-group type**: No. 8
**DOS(E_F)**: 4.8 states/eV per cell
**Energy of formation**: 38 meV per atom

POSCAR file:
```
Cr2FePt
1.0
4.285 -1.307 0.000
4.285 1.307 0.000
-0.828 0.000 4.504
Cr Fe Pt
2 1 1
Cartesian
0.000 0.000 0.000 Cr
6.183 0.000 1.139 Cr
3.835 0.000 2.117 Fe
1.505 0.000 3.366 Pt
```